Entry 1:
Here is MnZn2HIr after structural relaxation from Alexandria. Energies are from PBE.

a = 4.0804 Å, b = 4.0804 Å, c = 3.4791 Å
α = 90.00°, β = 90.00°, γ = 90.00°
Last column: nearest neighbours and their distance in Å.
Element x y z (fractional)
Mn  0.0000  0.0000  0.0000  2 H 1.74
Zn  0.0000  0.5000  0.5000  2 H 2.04
Zn  0.5000  0.0000  0.5000  2 H 2.04
H  0.0000  0.0000  0.5000  2 Mn 1.74
Ir  0.5000  0.5000  0.0000  8 Zn 2.68, 4 Mn 2.89

The value obtained for the density of states at the Fermi level is 2.7 states/eV per cell. The crystal system is tetragonal. The calculation puts the total energy at -4.7664 eV/atom. For the volume, the calculation gives 57.93 Å³/cell.

Entry 2:
Here is Zr2MnHIr after structural relaxation from Alexandria. Energies are from PBE.

a = 4.5321 Å, b = 4.5321 Å, c = 3.4526 Å
α = 90.00°, β = 90.00°, γ = 90.00°
Last column: nearest neighbours and their distance in Å.
Element x y z (fractional)
Zr  0.0000  0.5000  0.0000  2 H 2.27
Zr  0.5000  0.0000  0.0000  2 H 2.27
Mn  0.0000  0.0000  0.5000  2 H 1.73
H  0.0000  0.0000  0.0000  2 Mn 1.73
Ir  0.5000  0.5000  0.5000  8 Zr 2.85

The value obtained for the density of states at the Fermi level is 2.9 states/eV per cell. The crystal system is tetragonal. The calculation puts the total energy at -8.1450 eV/atom. For the volume, the calculation gives 70.91 Å³/cell.

Entry 3:
Here is ZrMn2HIr after structural relaxation from Alexandria. Energies are from PBE.

a = 3.8340 Å, b = 3.8340 Å, c = 4.3186 Å
α = 90.00°, β = 90.00°, γ = 90.00°
Last column: nearest neighbours and their distance in Å.
Element x y z (fractional)
Zr  0.0000  0.0000  0.0000  2 H 2.16
Mn  0.0000  0.5000  0.5000  2 H 1.92
Mn  0.5000  0.0000  0.5000  2 H 1.92
H  0.0000  0.0000  0.5000  4 Mn 1.92
Ir  0.5000  0.5000  0.0000  4 Zr 2.71, 8 Mn 2.89

The value obtained for the density of states at the Fermi level is 4.9 states/eV per cell. The crystal system is tetragonal. The calculation puts the total energy at -8.0483 eV/atom. For the volume, the calculation gives 63.48 Å³/cell.

Entry 4:
Here is MoHIr3 after structural relaxation from Alexandria. Energies are from PBE.

a = 4.7313 Å, b = 4.7313 Å, c = 4.7313 Å
α = 90.00°, β = 90.00°, γ = 90.00°
Last column: nearest neighbours and their distance in Å.
Element x y z (fractional)
Mo  0.0000  0.0000  0.0000  6 Ir 2.37
H  0.5000  0.5000  0.5000  12 Ir 3.35
Ir  0.0000  0.0000  0.5000  2 Mo 2.37
Ir  0.0000  0.5000  0.0000  2 Mo 2.37
Ir  0.5000  0.0000  0.0000  2 Mo 2.37

The value obtained for the density of states at the Fermi level is 5.1 states/eV per cell. The polymorph energy (0 for the lowest one) is 2241 meV/atom. The crystal system is cubic. For the volume, the calculation gives 105.91 Å³/cell.

Entry 5:
Here is Mo2HIr after structural relaxation from Alexandria. Energies are from PBE.

a = 2.7935 Å, b = 2.7935 Å, c = 22.5497 Å
α = 90.00°, β = 90.00°, γ = 120.00°
Last column: nearest neighbours and their distance in Å.
Element x y z (fractional)
Mo  0.0000  0.0000  0.1117  3 H 2.03
Mo  0.0000  0.0000  0.8883  3 H 2.03
Mo  0.3333  0.6667  0.5550  3 H 2.03
Mo  0.3333  0.6667  0.7783  3 H 2.03
Mo  0.6667  0.3333  0.2217  3 H 2.03
Mo  0.6667  0.3333  0.4450  3 H 2.03
H  0.0000  0.0000  0.5000  6 Mo 2.03
H  0.3333  0.6667  0.1667  6 Mo 2.03
H  0.6667  0.3333  0.8333  6 Mo 2.03
Ir  0.0000  0.0000  0.0000  2 Mo 2.52, 6 Ir 2.79
Ir  0.3333  0.6667  0.6667  2 Mo 2.52, 6 Ir 2.79
Ir  0.6667  0.3333  0.3333  2 Mo 2.52, 6 Ir 2.79

The value obtained for the density of states at the Fermi level is 13.0 states/eV per cell. The crystal system is trigonal. The calculation puts the total energy at -8.0332 eV/atom. For the volume, the calculation gives 152.40 Å³/cell.

Entry 6:
Here is MoH3Ir after structural relaxation from Alexandria. Energies are from PBE.

a = 3.4456 Å, b = 3.4456 Å, c = 3.4456 Å
α = 90.00°, β = 90.00°, γ = 90.00°
Last column: nearest neighbours and their distance in Å.
Element x y z (fractional)
Mo  0.0000  0.0000  0.0000  12 H 2.44
H  0.0000  0.5000  0.5000  2 Ir 1.72
H  0.5000  0.0000  0.5000  2 Ir 1.72
H  0.5000  0.5000  0.0000  2 Ir 1.72
Ir  0.5000  0.5000  0.5000  6 H 1.72

The value obtained for the density of states at the Fermi level is 2.2 states/eV per cell. The polymorph energy (0 for the lowest one) is 0 meV/atom. The crystal system is cubic. For the volume, the calculation gives 40.91 Å³/cell.

Entry 7:
Here is Mo2HIr after structural relaxation from Alexandria. Energies are from PBE.

a = 2.8228 Å, b = 2.8228 Å, c = 20.8235 Å
α = 90.00°, β = 90.00°, γ = 120.00°
Last column: nearest neighbours and their distance in Å.
Element x y z (fractional)
Mo  0.0000  0.0000  0.0000  3 H 2.08
Mo  0.0000  0.0000  0.2119  3 H 2.05
Mo  0.3333  0.6667  0.6667  3 H 2.08
Mo  0.3333  0.6667  0.8785  3 H 2.05
Mo  0.6667  0.3333  0.3333  3 H 2.08
Mo  0.6667  0.3333  0.5452  3 H 2.05
H  0.0000  0.0000  0.6049  6 Mo 2.05-2.08
H  0.3333  0.6667  0.2716  6 Mo 2.05-2.08
H  0.6667  0.3333  0.9382  6 Mo 2.05-2.08
Ir  0.0000  0.0000  0.7735  6 Mo 2.73-2.76, 6 Ir 2.82
Ir  0.3333  0.6667  0.4402  6 Mo 2.73-2.76, 6 Ir 2.82
Ir  0.6667  0.3333  0.1069  6 Mo 2.73-2.76, 6 Ir 2.82

The value obtained for the density of states at the Fermi level is 8.0 states/eV per cell. The crystal system is trigonal. The calculation puts the total energy at -8.5394 eV/atom. For the volume, the calculation gives 143.69 Å³/cell.

Entry 8:
Here is MoH3Ir after structural relaxation from Alexandria. Energies are from PBE.

a = 3.4557 Å, b = 3.4557 Å, c = 3.4557 Å
α = 90.00°, β = 90.00°, γ = 90.00°
Last column: nearest neighbours and their distance in Å.
Element x y z (fractional)
Mo  0.0000  0.0000  0.0000  6 H 1.73
H  0.0000  0.0000  0.5000  2 Mo 1.73
H  0.0000  0.5000  0.0000  2 Mo 1.73
H  0.5000  0.0000  0.0000  2 Mo 1.73
Ir  0.5000  0.5000  0.5000  12 H 2.44

The value obtained for the density of states at the Fermi level is 4.5 states/eV per cell. The polymorph energy (0 for the lowest one) is 280 meV/atom. The crystal system is cubic. For the volume, the calculation gives 41.27 Å³/cell.

Entry 9:
Here is Mo3HIr after structural relaxation from Alexandria. Energies are from PBE.

a = 3.9974 Å, b = 3.9974 Å, c = 3.9974 Å
α = 90.00°, β = 90.00°, γ = 90.00°
Last column: nearest neighbours and their distance in Å.
Element x y z (fractional)
Mo  0.0000  0.0000  0.5000  2 H 2.00
Mo  0.0000  0.5000  0.0000  2 H 2.00
Mo  0.5000  0.0000  0.0000  2 H 2.00
H  0.0000  0.0000  0.0000  6 Mo 2.00
Ir  0.5000  0.5000  0.5000  12 Mo 2.83

The value obtained for the density of states at the Fermi level is 4.0 states/eV per cell. The polymorph energy (0 for the lowest one) is 0 meV/atom. The crystal system is cubic. For the volume, the calculation gives 63.88 Å³/cell.

Entry 10:
Here is MoHIr3 after structural relaxation from Alexandria. Energies are from PBE.

a = 3.9505 Å, b = 3.9505 Å, c = 3.9505 Å
α = 90.00°, β = 90.00°, γ = 90.00°
Last column: nearest neighbours and their distance in Å.
Element x y z (fractional)
Mo  0.0000  0.0000  0.0000  12 Ir 2.79
H  0.5000  0.5000  0.5000  6 Ir 1.98
Ir  0.0000  0.5000  0.5000  2 H 1.98
Ir  0.5000  0.0000  0.5000  2 H 1.98
Ir  0.5000  0.5000  0.0000  2 H 1.98

The value obtained for the density of states at the Fermi level is 4.7 states/eV per cell. The polymorph energy (0 for the lowest one) is 0 meV/atom. The crystal system is cubic. For the volume, the calculation gives 61.65 Å³/cell.

Entry 11:
Here is Mo3HIr after structural relaxation from Alexandria. Energies are from PBE.

a = 4.7632 Å, b = 4.7632 Å, c = 4.7632 Å
α = 90.00°, β = 90.00°, γ = 90.00°
Last column: nearest neighbours and their distance in Å.
Element x y z (fractional)
Mo  0.0000  0.0000  0.5000  2 Ir 2.38
Mo  0.0000  0.5000  0.0000  2 Ir 2.38
Mo  0.5000  0.0000  0.0000  2 Ir 2.38
H  0.5000  0.5000  0.5000  12 Mo 3.37
Ir  0.0000  0.0000  0.0000  6 Mo 2.38

The value obtained for the density of states at the Fermi level is 7.3 states/eV per cell. The polymorph energy (0 for the lowest one) is 2313 meV/atom. The crystal system is cubic. For the volume, the calculation gives 108.07 Å³/cell.

Entry 12:
Here is Mo2HIr after structural relaxation from Alexandria. Energies are from PBE.

a = 4.6474 Å, b = 4.6474 Å, c = 10.8296 Å
α = 90.00°, β = 90.00°, γ = 90.00°
Last column: nearest neighbours and their distance in Å.
Element x y z (fractional)
Mo  0.1233  0.2500  0.1250  2 H 1.87
Mo  0.2500  0.6233  0.3750  2 H 1.87
Mo  0.2500  0.8767  0.8750  2 H 1.87
Mo  0.3767  0.2500  0.6250  2 H 1.87
Mo  0.6233  0.7500  0.6250  2 H 1.87
Mo  0.7500  0.1233  0.8750  2 H 1.87
Mo  0.7500  0.3767  0.3750  2 H 1.87
Mo  0.8767  0.7500  0.1250  2 H 1.87
H  0.0000  0.0000  0.0000  4 Mo 1.87
H  0.0000  0.5000  0.2500  4 Mo 1.87
H  0.5000  0.0000  0.7500  4 Mo 1.87
H  0.5000  0.5000  0.5000  4 Mo 1.87
Ir  0.0000  0.0000  0.5000  4 Mo 2.50
Ir  0.0000  0.5000  0.7500  4 Mo 2.50
Ir  0.5000  0.0000  0.2500  4 Mo 2.50
Ir  0.5000  0.5000  0.0000  4 Mo 2.50

The value obtained for the density of states at the Fermi level is 13.2 states/eV per cell. The crystal system is tetragonal. The calculation puts the total energy at -7.8882 eV/atom. For the volume, the calculation gives 233.90 Å³/cell.

Entry 13:
Here is Na2MoHIr after structural relaxation from Alexandria. Energies are from PBE.

a = 5.5893 Å, b = 5.5893 Å, c = 3.2923 Å
α = 90.00°, β = 90.00°, γ = 90.00°
Last column: nearest neighbours and their distance in Å.
Element x y z (fractional)
Na  0.0000  0.5000  0.0000  2 Mo 2.79
Na  0.5000  0.0000  0.0000  2 Mo 2.79
Mo  0.0000  0.0000  0.0000  2 H 1.65
H  0.0000  0.0000  0.5000  2 Mo 1.65
Ir  0.5000  0.5000  0.5000  8 Na 3.24, 2 Ir 3.29

The value obtained for the density of states at the Fermi level is 4.3 states/eV per cell. The crystal system is tetragonal. The calculation puts the total energy at -3.6650 eV/atom. For the volume, the calculation gives 102.85 Å³/cell.

Entry 14:
Here is NbMoHIr2 after structural relaxation from Alexandria. Energies are from PBE.

a = 3.9668 Å, b = 3.9668 Å, c = 4.0889 Å
α = 90.00°, β = 90.00°, γ = 90.00°
Last column: nearest neighbours and their distance in Å.
Element x y z (fractional)
Nb  0.0000  0.0000  0.0000  4 Mo 2.80, 8 Ir 2.85
Mo  0.5000  0.5000  0.0000  2 H 2.04
H  0.5000  0.5000  0.5000  4 Ir 1.98, 2 Mo 2.04
Ir  0.0000  0.5000  0.5000  2 H 1.98
Ir  0.5000  0.0000  0.5000  2 H 1.98

The value obtained for the density of states at the Fermi level is 2.1 states/eV per cell. The polymorph energy (0 for the lowest one) is 0 meV/atom. The crystal system is tetragonal. For the volume, the calculation gives 64.34 Å³/cell.

Entry 15:
Here is NbMoHIr2 after structural relaxation from Alexandria. Energies are from PBE.

a = 3.9552 Å, b = 3.9552 Å, c = 4.1146 Å
α = 90.00°, β = 90.00°, γ = 90.00°
Last column: nearest neighbours and their distance in Å.
Element x y z (fractional)
Nb  0.0000  0.0000  0.0000  2 H 2.06
Mo  0.5000  0.5000  0.0000  4 Nb 2.80, 8 Ir 2.85
H  0.0000  0.0000  0.5000  4 Ir 1.98, 2 Nb 2.06
Ir  0.0000  0.5000  0.5000  2 H 1.98
Ir  0.5000  0.0000  0.5000  2 H 1.98

The value obtained for the density of states at the Fermi level is 1.5 states/eV per cell. The polymorph energy (0 for the lowest one) is 15 meV/atom. The crystal system is tetragonal. For the volume, the calculation gives 64.37 Å³/cell.

Entry 16:
Here is NiMo2HIr after structural relaxation from Alexandria. Energies are from PBE.

a = 3.9056 Å, b = 3.9056 Å, c = 3.8832 Å
α = 90.00°, β = 90.00°, γ = 90.00°
Last column: nearest neighbours and their distance in Å.
Element x y z (fractional)
Ni  0.0000  0.0000  0.0000  2 H 1.94
Mo  0.0000  0.5000  0.5000  2 H 1.95
Mo  0.5000  0.0000  0.5000  2 H 1.95
H  0.0000  0.0000  0.5000  2 Ni 1.94, 4 Mo 1.95
Ir  0.5000  0.5000  0.0000  8 Mo 2.75, 4 Ni 2.76

The value obtained for the density of states at the Fermi level is 5.3 states/eV per cell. The polymorph energy (0 for the lowest one) is 0 meV/atom. The crystal system is tetragonal. For the volume, the calculation gives 59.23 Å³/cell.

Entry 17:
Here is NiMo2HIr after structural relaxation from Alexandria. Energies are from PBE.

a = 3.8941 Å, b = 3.8941 Å, c = 3.9363 Å
α = 90.00°, β = 90.00°, γ = 90.00°
Last column: nearest neighbours and their distance in Å.
Element x y z (fractional)
Ni  0.0000  0.0000  0.0000  4 Ir 2.75, 8 Mo 2.77
Mo  0.0000  0.5000  0.5000  2 H 1.95
Mo  0.5000  0.0000  0.5000  2 H 1.95
H  0.5000  0.5000  0.5000  4 Mo 1.95, 2 Ir 1.97
Ir  0.5000  0.5000  0.0000  2 H 1.97

The value obtained for the density of states at the Fermi level is 4.9 states/eV per cell. The polymorph energy (0 for the lowest one) is 60 meV/atom. The crystal system is tetragonal. For the volume, the calculation gives 59.69 Å³/cell.

Entry 18:
Here is MoHIrOs2 after structural relaxation from Alexandria. Energies are from PBE.

a = 3.9474 Å, b = 3.9474 Å, c = 3.9103 Å
α = 90.00°, β = 90.00°, γ = 90.00°
Last column: nearest neighbours and their distance in Å.
Element x y z (fractional)
Mo  0.0000  0.0000  0.0000  8 Os 2.78, 4 Ir 2.79
H  0.5000  0.5000  0.5000  2 Ir 1.96, 4 Os 1.97
Ir  0.5000  0.5000  0.0000  2 H 1.96
Os  0.0000  0.5000  0.5000  2 H 1.97
Os  0.5000  0.0000  0.5000  2 H 1.97

The value obtained for the density of states at the Fermi level is 2.3 states/eV per cell. The polymorph energy (0 for the lowest one) is 11 meV/atom. The crystal system is tetragonal. For the volume, the calculation gives 60.93 Å³/cell.

Entry 19:
Here is MoHIr2Os after structural relaxation from Alexandria. Energies are from PBE.

a = 3.8903 Å, b = 3.8903 Å, c = 4.0357 Å
α = 90.00°, β = 90.00°, γ = 90.00°
Last column: nearest neighbours and their distance in Å.
Element x y z (fractional)
Mo  0.0000  0.0000  0.0000  2 H 2.02
H  0.0000  0.0000  0.5000  4 Ir 1.95, 2 Mo 2.02
Ir  0.0000  0.5000  0.5000  2 H 1.95
Ir  0.5000  0.0000  0.5000  2 H 1.95
Os  0.5000  0.5000  0.0000  4 Mo 2.75, 8 Ir 2.80

The value obtained for the density of states at the Fermi level is 3.6 states/eV per cell. The polymorph energy (0 for the lowest one) is 0 meV/atom. The crystal system is tetragonal. For the volume, the calculation gives 61.08 Å³/cell.

Entry 20:
Here is MoHIr2Os after structural relaxation from Alexandria. Energies are from PBE.

a = 3.9143 Å, b = 3.9143 Å, c = 3.9927 Å
α = 90.00°, β = 90.00°, γ = 90.00°
Last column: nearest neighbours and their distance in Å.
Element x y z (fractional)
Mo  0.0000  0.0000  0.0000  4 Os 2.77, 8 Ir 2.80
H  0.5000  0.5000  0.5000  4 Ir 1.96, 2 Os 2.00
Ir  0.0000  0.5000  0.5000  2 H 1.96
Ir  0.5000  0.0000  0.5000  2 H 1.96
Os  0.5000  0.5000  0.0000  2 H 2.00

The value obtained for the density of states at the Fermi level is 3.5 states/eV per cell. The polymorph energy (0 for the lowest one) is 3 meV/atom. The crystal system is tetragonal. For the volume, the calculation gives 61.17 Å³/cell.